{
  "formula": "HfVMo2O6",
  "functional": "PBE with a Hubbard U",
  "state": "relaxed",
  "lattice_angstrom": [[5.437, 0.003, 0.012], [2.715, 4.708, -0.015], [2.706, 1.593, 4.860]],
  "species": ["Hf", "V", "Mo", "Mo", "O", "O", "O", "O", "O", "O"],
  "frac_coords": [[0.314, 0.314, 0.057], [0.820, 0.820, 0.539], [0.515, 0.515, 0.455], [0.014, 0.014, 0.957], [0.600, 0.223, 0.247], [0.223, 0.930, 0.247], [0.930, 0.600, 0.247], [0.422, 0.709, 0.755], [0.708, 0.114, 0.756], [0.114, 0.422, 0.755]],
  "final_energy_ev_per_fu": -82.30
}